MgCuAgHg | PBE | optimized geometry

ΔH_f (0 K) = -51 meV per atom
Magnetic moment = 0.00 μB per atom
VASP energy = -2.262 eV per atom
Density = 9.39 Mg/m³
Symmetry = F-43m

Unit cell a=4.627 b=4.627 c=4.627 alpha=60.00 beta=60.00 gamma=60.00
Fractional positions:
Mg (0.750, 0.750, 0.750)
Cu (0.250, 0.250, 0.250)
Hg (0.000, 0.000, 0.000)
Ag (0.500, 0.500, 0.500)